VASP calculation (PBE) on a relaxed structure of YCoSe2N.

magnetization: 2.73 μB per cell
VASP energy: -5.05 eV/atom
offset from the most stable computed form: 1.2136 eV/atom
formation energy from raw total energies: 350 kJ/mol of formula units

Geometry as POSCAR:
```
YCoSe2N
1.0
5.504 0.000 0.000
0.000 5.504 0.000
0.000 0.000 4.222
Se N Co Y
2 1 1 1
direct
0.000 0.500 0.000
0.500 0.000 0.000
0.000 0.000 0.500
0.500 0.500 0.500
0.000 0.000 0.000
```